Computed, not measured: a relaxed structure of BaNaTa at the PBE level of DFT.

space-group type = P3m1 (156)
polymorph energy (0 for the lowest one) = 104 kJ/mol of formula units
energy = -4.287 eV/atom
formation enthalpy at 0 K = 745 meV/atom

Cell and atoms, written as POSCAR:
```
BaNaTa
1.0
-3.581 2.275 -1.888
-0.624 -4.241 1.784
-2.650 5.080 11.147
Na Ba Ta
2 2 2
Direct
0.667 0.333 0.145 Na
0.000 0.000 0.265 Na
0.000 0.000 0.591 Ba
0.333 0.667 0.901 Ba
0.333 0.667 0.408 Ta
0.667 0.333 0.412 Ta
```

Computed, not measured: a relaxed structure of SrGa2Si at the PBE level of DFT.

space-group type = R-3m (166)
ΔE_f (raw) = -239 meV/atom
energy = -3.528 eV/atom

Cell and atoms, written as POSCAR:
```
SrGa2Si
1.0
4.284 0.000 0.000
2.142 3.710 0.000
2.142 1.237 5.913
Sr Si Ga
1 1 2
Direct
0.500 0.500 0.500 Sr
0.000 0.000 0.000 Si
0.281 0.281 0.156 Ga
0.719 0.719 0.844 Ga
```

Computed, not measured: a relaxed structure of Ca2MnSb at the PBE level of DFT.

space-group type = R-3m (166)
ΔE_f (raw) = 87 meV/atom
energy = -4.237 eV/atom

Cell and atoms, written as POSCAR:
```
Ca2MnSb
1.0
-8.707 4.451 2.621
-9.417 1.054 3.563
-7.635 3.211 5.821
Sb Ca Mn
1 2 1
Direct
0.750 0.750 0.750 Sb
0.996 0.996 0.996 Ca
0.504 0.504 0.504 Ca
0.250 0.250 0.250 Mn
```

Computed, not measured: a relaxed structure of LuSbIr at the PBE level of DFT.

space-group type = I4mm (107)
ΔE_f (raw) = -379 meV/atom
energy = -6.214 eV/atom

Cell and atoms, written as POSCAR:
```
LuSbIr
1.0
3.781 0.000 0.000
0.000 3.781 0.000
-1.890 -1.890 4.525
Sb Ir Lu
1 1 1
Direct
0.278 0.278 0.556 Sb
0.974 0.974 0.949 Ir
0.598 0.598 0.196 Lu
```

Computed, not measured: a relaxed structure of LuMgHgAu at the PBE level of DFT.

space-group type = F-43m (216)
energy = -3.026 eV/atom
formation enthalpy at 0 K = -602 meV/atom

Cell and atoms, written as POSCAR:
```
LuMgHgAu
1.0
-4.903 -0.361 0.066
-2.137 -4.425 0.145
-2.301 -1.487 4.083
Mg Lu Au Hg
1 1 1 1
Direct
0.250 0.250 0.250 Mg
0.750 0.750 0.750 Lu
0.000 0.000 0.000 Au
0.500 0.500 0.500 Hg
```

Computed, not measured: a relaxed structure of CaSc2AgO at the PBE level of DFT.

space-group type = P4/mmm (123)
ΔE_f (raw) = -1226 meV/atom
energy = -5.721 eV/atom

Cell and atoms, written as POSCAR:
```
CaSc2AgO
1.0
4.385 0.000 0.000
0.000 4.385 0.000
0.000 0.000 4.953
Sc Ca O Ag
2 1 1 1
Direct
0.000 0.500 0.000 Sc
0.500 0.000 0.000 Sc
0.000 0.000 0.500 Ca
0.000 0.000 0.000 O
0.500 0.500 0.500 Ag
```

Computed, not measured: a relaxed structure of Cs3BaCa2F9 at the PBE level of DFT.

space-group type = P-3m1 (164)
ΔE_f (raw) = -3423 meV/atom
energy = -5.112 eV/atom

Cell and atoms, written as POSCAR:
```
Cs3BaCa2F9
1.0
-2.567 4.132 4.589
4.644 -4.479 1.758
5.974 5.545 -1.651
Cs Ba Ca F
3 1 2 9
Direct
0.333 0.667 0.682 Cs
0.000 0.000 0.000 Cs
0.667 0.333 0.318 Cs
0.000 0.000 0.500 Ba
0.333 0.667 0.153 Ca
0.667 0.333 0.847 Ca
0.824 0.176 0.687 F
0.824 0.648 0.687 F
0.352 0.176 0.687 F
0.648 0.824 0.313 F
0.176 0.352 0.313 F
0.176 0.824 0.313 F
0.500 0.000 0.000 F
0.000 0.500 0.000 F
0.500 0.500 0.000 F
```

Computed, not measured: a relaxed structure of SrY2Ta at the PBE level of DFT.

space-group type = I-4m2 (119)
polymorph energy (0 for the lowest one) = 115 kJ/mol of formula units
energy = -5.959 eV/atom
formation enthalpy at 0 K = 656 meV/atom

Cell and atoms, written as POSCAR:
```
SrY2Ta
1.0
-2.443 -2.611 -4.828
3.062 -4.969 -1.423
-2.369 1.936 5.171
Sr Ta Y
1 1 2
Direct
0.500 0.500 0.000 Sr
0.750 0.250 0.500 Ta
0.000 0.000 0.000 Y
0.250 0.750 0.500 Y
```